[1]
A plane-wave DFT calculation with meta-GGA SCAN was carried out for TiCd2Ag at its PBEsol-relaxed geometry.

## Properties
* total DFT energy (no corrections): -0.9923 Ha/atom
* volume: 17.84 A^3/atom
* magnetic moment: 0.02 μB/cell

Lattice parameters (Å, degrees): 6.584 6.584 6.584 90.00 90.00 90.00
Space group Fm-3m (No. 225)
Asymmetric unit:
Ti (0.000, 0.000, 0.000) [4 per cell]
Cd (0.250, 0.250, 0.250) [8 per cell]
Ag (0.000, 0.000, 0.500) [4 per cell]


[2]
A plane-wave DFT calculation with meta-GGA SCAN was carried out for TlCd2Ag at its PBEsol-relaxed geometry.

## Properties
* E above lowest polymorph: 33 meV/atom
* volume: 21.20 A^3/atom
* magnetic moment: 0.00 μB/cell

Lattice parameters (Å, degrees): 3.117 3.117 8.731 90.00 90.00 90.00
Space group P4mm (No. 99)
Asymmetric unit:
Tl (0.000, 0.000, 0.000) [1 per cell]
Cd (0.000, 0.000, 0.529) [1 per cell]
Cd (0.500, 0.500, 0.284) [1 per cell]
Ag (0.500, 0.500, 0.744) [1 per cell]


[3]
A plane-wave DFT calculation with meta-GGA SCAN was carried out for Tl2CdAg at its PBEsol-relaxed geometry.

## Properties
* E above lowest polymorph: 91 meV/atom
* volume: 23.03 A^3/atom
* magnetic moment: 0.00 μB/cell

Lattice parameters (Å, degrees): 6.419 8.719 3.292 90.00 90.59 90.00
Space group C2/m (No. 12)
Asymmetric unit:
Tl (0.250, 0.250, 0.000) [4 per cell]
Cd (0.000, 0.000, 0.500) [2 per cell]
Ag (0.000, 0.500, 0.500) [2 per cell]


[4]
A plane-wave DFT calculation with meta-GGA SCAN was carried out for Tl2CdAg at its PBEsol-relaxed geometry.

## Properties
* E above lowest polymorph: 79 meV/atom
* volume: 23.29 A^3/atom
* magnetic moment: 0.00 μB/cell

Lattice parameters (Å, degrees): 3.554 3.554 7.374 90.00 90.00 90.00
Space group P4/mmm (No. 123)
Asymmetric unit:
Tl (0.000, 0.000, 0.234) [2 per cell]
Cd (0.500, 0.500, 0.500) [1 per cell]
Ag (0.500, 0.500, 0.000) [1 per cell]


[5]
A plane-wave DFT calculation with meta-GGA SCAN was carried out for Tl2CdAg at its PBEsol-relaxed geometry.

## Properties
* E above lowest polymorph: 87 meV/atom
* volume: 23.17 A^3/atom
* magnetic moment: 0.00 μB/cell

Lattice parameters (Å, degrees): 7.184 7.184 7.184 90.00 90.00 90.00
Space group Fm-3m (No. 225)
Asymmetric unit:
Tl (0.250, 0.250, 0.250) [8 per cell]
Cd (0.000, 0.000, 0.000) [4 per cell]
Ag (0.000, 0.000, 0.500) [4 per cell]


[6]
A plane-wave DFT calculation with meta-GGA SCAN was carried out for TlCd2Ag2 at its PBEsol-relaxed geometry.

## Properties
* total DFT energy (no corrections): -1.4388 Ha/atom
* volume: 22.34 A^3/atom
* magnetic moment: 0.00 μB/cell

Lattice parameters (Å, degrees): 8.542 8.542 3.062 90.00 90.00 90.00
Space group P4/mbm (No. 127)
Asymmetric unit:
Tl (0.000, 0.000, 0.000) [2 per cell]
Cd (0.127, 0.373, 0.000) [4 per cell]
Ag (0.170, 0.670, 0.500) [4 per cell]


[7]
A plane-wave DFT calculation with meta-GGA SCAN was carried out for TlCd2Ag at its PBEsol-relaxed geometry.

## Properties
* E above lowest polymorph: 50 meV/atom
* volume: 21.30 A^3/atom
* magnetic moment: 0.00 μB/cell

Lattice parameters (Å, degrees): 9.651 3.177 5.675 90.00 101.72 90.00
Space group Cm (No. 8)
Asymmetric unit:
Tl (0.000, 0.000, 0.000) [2 per cell]
Cd (0.240, 0.000, 0.713) [2 per cell]
Cd (0.491, 0.000, 0.480) [2 per cell]
Ag (0.251, 0.500, 0.259) [2 per cell]


[8]
A plane-wave DFT calculation with meta-GGA SCAN was carried out for Tl2CdAg at its PBEsol-relaxed geometry.

## Properties
* E above lowest polymorph: 78 meV/atom
* volume: 23.12 A^3/atom
* magnetic moment: 0.00 μB/cell

Lattice parameters (Å, degrees): 3.399 4.089 6.656 90.00 91.65 90.00
Space group P2/m (No. 10)
Asymmetric unit:
Tl (0.002, 0.000, 0.261) [2 per cell]
Cd (0.500, 0.500, 0.000) [1 per cell]
Ag (0.500, 0.500, 0.500) [1 per cell]


Question: Among the records above, which one has the highest magnetic moment?
Answer: TiCd2Ag


Question: What is the magnetic moment in the seventh record?
Answer: 0.00 μB/cell